No. 1
Sc2Co3Si4: optimized geometry, GGA-PBE.

Structure (POSCAR):
```
Sc2Co3Si4
1.0
5.2071 0.0000 0.0000
0.0000 6.7805 0.0000
-2.6036 0.0000 6.8549
Co Sc Si
6 4 8
direct
0.0174 0.7500 0.5349
0.4826 0.2500 0.4651
0.9826 0.2500 0.4651
0.0000 0.0000 0.0000
0.5000 0.5000 0.0000
0.5174 0.7500 0.5349
0.1072 0.5995 0.2145
0.3928 0.0995 0.7855
0.6072 0.9005 0.2145
0.8928 0.4005 0.7855
0.8138 0.2500 0.1276
0.3138 0.2500 0.1276
0.1862 0.7500 0.8724
0.3200 0.4802 0.6399
0.6800 0.5198 0.3601
0.6862 0.7500 0.8724
0.1800 0.9802 0.3601
0.8200 0.0198 0.6399
```

Values from the calculation:
E_form (uncorrected)	-0.760	eV per atom
Fermi-level density of states	0.5674	states/eV/atom
DFT total energy	-6.946	eV/atom
spin magnetization	0.00	μB/f.u.

No. 2
MnVB2: optimized geometry, GGA-PBE.

Structure (POSCAR):
```
MnVB2
1.0
3.3224 0.0000 0.0000
0.0000 5.1617 0.0000
0.0000 0.0000 8.3800
B Mn V
8 4 4
direct
0.7500 0.8285 0.8565
0.2500 0.1715 0.1435
0.7500 0.4894 0.8284
0.2500 0.6715 0.3565
0.2500 0.5106 0.1716
0.2500 0.0106 0.3284
0.7500 0.3285 0.6435
0.7500 0.9894 0.6716
0.7500 0.3528 0.0610
0.2500 0.6472 0.9390
0.7500 0.8528 0.4390
0.2500 0.1472 0.5610
0.7500 0.8778 0.1442
0.2500 0.6222 0.6442
0.7500 0.3778 0.3558
0.2500 0.1222 0.8558
```

Values from the calculation:
formation energy	-369	meV per atom
Fermi-level density of states	0.5308	states/eV/atom
DFT total energy	-8.280	eV/atom
spin magnetization	0.00	μB/f.u.

No. 3
Zr4BeBr: optimized geometry, GGA-PBE.

Structure (POSCAR):
```
Zr4BeBr
1.0
0.0000 4.0872 4.0872
4.0872 0.0000 4.0872
4.0872 4.0872 0.0000
Zr Br Be
4 1 1
direct
0.8672 0.3776 0.3776
0.3776 0.3776 0.3776
0.3776 0.8672 0.3776
0.3776 0.3776 0.8672
0.0000 0.0000 0.0000
0.7500 0.7500 0.7500
```

Values from the calculation:
E_form (uncorrected)	0.687	eV per atom
Fermi-level density of states	0.9528	states/eV/atom
DFT total energy	-5.911	eV/atom
spin magnetization	0.00	μB/f.u.

No. 4
LiCo2P: optimized geometry, GGA-PBE.

Structure (POSCAR):
```
LiCo2P
1.0
6.4530 0.0000 0.0000
0.0000 6.4530 0.0000
3.2265 3.2265 2.4284
Co Li P
4 2 2
direct
0.8750 0.9401 0.7500
0.0599 0.6250 0.2500
0.3750 0.3099 0.7500
0.6901 0.1250 0.2500
0.2500 0.7500 0.5000
0.5000 0.5000 0.0000
0.0000 0.0000 0.0000
0.7500 0.2500 0.5000
```

Values from the calculation:
formation energy	-18	meV per atom
Fermi-level density of states	0.5176	states/eV/atom
DFT total energy	-5.402	eV/atom
spin magnetization	0.00	μB/f.u.

No. 5
LuBiRh2: optimized geometry, GGA-PBE.

Structure (POSCAR):
```
LuBiRh2
1.0
3.5937 0.0000 0.0000
0.0000 4.6128 0.0000
0.0000 0.0000 4.6128
Rh Lu Bi
2 1 1
direct
0.0000 0.0000 0.5000
0.0000 0.5000 0.0000
0.5000 0.5000 0.5000
0.5000 0.0000 0.0000
```

Values from the calculation:
formation energy	-581	meV per atom
Fermi-level density of states	1.0032	states/eV/atom
DFT total energy	-6.357	eV/atom
spin magnetization	0.00	μB/f.u.

No. 6
La3CrBr: optimized geometry, GGA-PBE.

Structure (POSCAR):
```
La3CrBr
1.0
-4.4722 -2.9701 -0.0316
0.8203 -1.2900 5.1465
-2.8548 4.2823 1.5284
Br Cr La
1 1 3
direct
0.5000 0.5000 0.5000
0.0000 0.0000 0.0000
0.0000 0.5000 0.0000
0.5000 0.0000 0.0000
0.0000 0.0000 0.5000
```

Values from the calculation:
E_form (uncorrected)	-0.021	eV per atom
Fermi-level density of states	1.3029	states/eV/atom
DFT total energy	-5.237	eV/atom
spin magnetization	0.00	μB/f.u.

No. 7
CrCo2Mo: optimized geometry, GGA-PBE.

Structure (POSCAR):
```
CrCo2Mo
1.0
-3.5396 -2.1437 1.4899
-1.5160 -3.7388 1.7514
0.2822 1.0764 4.3818
Mo Co Cr
1 2 1
direct
0.7474 0.7474 0.7724
0.9940 0.9940 0.0016
0.2495 0.2495 0.2704
0.5091 0.5091 0.4556
```

Values from the calculation:
formation energy	126	meV per atom
Fermi-level density of states	1.2854	states/eV/atom
DFT total energy	-8.541	eV/atom
spin magnetization	0.00	μB/f.u.

No. 8
MnC3: optimized geometry, GGA-PBE.

Structure (POSCAR):
```
MnC3
1.0
-3.5611 -0.2860 -0.9013
-0.5151 -2.3583 2.7837
-0.7929 2.8165 2.2393
C Mn
3 1
direct
0.0000 0.0000 0.5000
0.0000 0.5000 0.0000
0.5000 0.0000 0.0000
0.0000 0.0000 0.0000
```

Values from the calculation:
formation energy	2136	meV per atom
Fermi-level density of states	0.3333	states/eV/atom
DFT total energy	-7.074	eV/atom
spin magnetization	0.00	μB/f.u.